Computed, not measured: a crystal of TaGePd3 relaxed with PBEsol at the meta-GGA SCAN level of DFT.

abc: 4.770 4.770 4.770
angles: 90.00 90.00 90.00
Space group Pm-3m (No. 221)
Asymmetric unit:
1 Ta 0.000 0.000 0.000 (multiplicity 1)
2 Ge 0.500 0.500 0.500 (multiplicity 1)
3 Pd 0.000 0.000 0.500 (multiplicity 3)

Summary:
- Electronic total energy: -35.80 eV per atom
- E_form: 1.00 eV per atom



Computed, not measured: a crystal of BeTl2Pb relaxed with PBEsol at the meta-GGA SCAN level of DFT.

abc: 4.386 4.386 10.216
angles: 90.00 90.00 90.00
Space group I4/mmm (No. 139)
Asymmetric unit:
1 Be 0.000 0.000 0.000 (multiplicity 2)
2 Tl 0.000 0.500 0.250 (multiplicity 4)
3 Pb 0.000 0.000 0.500 (multiplicity 2)

Summary:
- Electronic total energy: -55.69 eV per atom
- Relative energy among the computed polymorphs: 0.196 eV per atom
- E_form: 0.52 eV per atom



Computed, not measured: a crystal of Nb3NiN relaxed with PBEsol at the meta-GGA SCAN level of DFT.

abc: 4.515 4.515 4.515
angles: 90.00 90.00 90.00
Space group Pm-3m (No. 221)
Asymmetric unit:
1 Nb 0.000 0.000 0.500 (multiplicity 3)
2 Ni 0.000 0.000 0.000 (multiplicity 1)
3 N 0.500 0.500 0.500 (multiplicity 1)

Summary:
- Electronic total energy: -23.16 eV per atom
- Uncorrected formation energy: 1.81 eV/atom



Computed, not measured: a crystal of MnZnNi6 relaxed with PBEsol at the meta-GGA SCAN level of DFT.

abc: 7.008 9.916 9.914
angles: 90.00 90.00 90.00
Space group Cmmm (No. 65)
Asymmetric unit:
1 Mn 0.000 0.000 0.249 (multiplicity 4)
2 Mn 0.000 0.249 0.500 (multiplicity 4)
3 Zn 0.000 0.250 0.000 (multiplicity 4)
4 Zn 0.000 0.500 0.250 (multiplicity 4)
5 Ni 0.000 0.000 0.000 (multiplicity 2)
6 Ni 0.000 0.000 0.500 (multiplicity 2)
7 Ni 0.000 0.249 0.252 (multiplicity 8)
8 Ni 0.000 0.500 0.000 (multiplicity 2)
9 Ni 0.000 0.500 0.500 (multiplicity 2)
10 Ni 0.249 0.125 0.126 (multiplicity 16)
11 Ni 0.249 0.125 0.376 (multiplicity 16)

Summary:
- Electronic total energy: -16.28 eV per atom
- E_form: -0.18 eV per atom



Computed, not measured: a crystal of K2CrP relaxed with PBEsol at the meta-GGA SCAN level of DFT.

abc: 12.366 12.366 4.524
angles: 90.00 90.00 90.00
Space group I-42d (No. 122)
Asymmetric unit:
1 K 0.052 0.250 0.125 (multiplicity 8)
2 Cr 0.000 0.000 0.500 (multiplicity 4)
3 P 0.000 0.000 0.000 (multiplicity 4)

Summary:
- Electronic total energy: -11.49 eV per atom
- E_form: -0.13 eV per atom



Computed, not measured: a crystal of Zr2OsRu relaxed with PBEsol at the meta-GGA SCAN level of DFT.

abc: 3.236 3.236 6.473
angles: 90.00 90.00 90.00
Space group P4/mmm (No. 123)
Asymmetric unit:
1 Zr 0.000 0.000 0.249 (multiplicity 2)
2 Os 0.500 0.500 0.500 (multiplicity 1)
3 Ru 0.500 0.500 0.000 (multiplicity 1)

Summary:
- Electronic total energy: -42.81 eV per atom
- E_form: -0.78 eV per atom